# 1
{"formula": "Ac2NdGe3Pt12", "functional": "PBE", "state": "optimized geometry", "space_group": "R-3m (166)", "rho_g_cm3": 13.18, "lattice_angstrom": [[4.239, 2.447, 6.390], [-4.239, 2.447, 6.390], [0.000, -4.895, 6.390]], "species": ["Ac", "Ac", "Nd", "Ge", "Ge", "Ge", "Pt", "Pt", "Pt", "Pt", "Pt", "Pt", "Pt", "Pt", "Pt", "Pt", "Pt", "Pt"], "fractional_positions": [[0.102, 0.102, 0.102], [0.898, 0.898, 0.898], [0.500, 0.500, 0.500], [0.000, 0.500, 0.500], [0.500, 0.000, 0.500], [0.500, 0.500, 0.000], [0.095, 0.645, 0.645], [0.147, 0.147, 0.596], [0.147, 0.596, 0.147], [0.355, 0.355, 0.905], [0.355, 0.905, 0.355], [0.404, 0.853, 0.853], [0.596, 0.147, 0.147], [0.645, 0.095, 0.645], [0.645, 0.645, 0.095], [0.853, 0.404, 0.853], [0.853, 0.853, 0.404], [0.905, 0.355, 0.355]]}



# 2
{"formula": "Mg3ZnCu3", "functional": "PBE", "state": "optimized geometry", "relative_energy_ev_per_atom": 0.0000, "space_group": "P6_3/m (176)", "rho_g_cm3": 4.92, "lattice_angstrom": [[7.570, 0.000, 0.000], [-3.785, 6.555, 0.000], [0.000, 0.000, 4.471]], "species": ["Mg", "Mg", "Mg", "Mg", "Mg", "Mg", "Zn", "Zn", "Cu", "Cu", "Cu", "Cu", "Cu", "Cu"], "fractional_positions": [[0.092, 0.650, 0.250], [0.350, 0.442, 0.250], [0.442, 0.092, 0.750], [0.558, 0.908, 0.250], [0.650, 0.558, 0.750], [0.908, 0.350, 0.750], [0.333, 0.667, 0.750], [0.667, 0.333, 0.250], [0.047, 0.832, 0.750], [0.168, 0.215, 0.750], [0.215, 0.047, 0.250], [0.785, 0.953, 0.750], [0.832, 0.785, 0.250], [0.953, 0.168, 0.250]]}



# 3
{"formula": "TaV2Pd", "functional": "PBE", "state": "optimized geometry", "relative_energy_ev_per_atom": 0.0630, "space_group": "Fm-3m (225)", "rho_g_cm3": 10.74, "lattice_angstrom": [[0.000, 3.111, 3.111], [3.111, 0.000, 3.111], [3.111, 3.111, 0.000]], "species": ["Ta", "V", "V", "Pd"], "fractional_positions": [[0.000, 0.000, 0.000], [0.250, 0.250, 0.250], [0.750, 0.750, 0.750], [0.500, 0.500, 0.500]]}



# 4
{"formula": "TlBi3Rh", "functional": "PBE", "state": "optimized geometry", "relative_energy_ev_per_atom": 0.0073, "space_group": "C2/c (15)", "rho_g_cm3": 10.98, "lattice_angstrom": [[6.085, -7.380, 0.000], [6.085, 7.380, 0.000], [-0.246, 0.000, 6.294]], "species": ["Tl", "Tl", "Tl", "Tl", "Bi", "Bi", "Bi", "Bi", "Bi", "Bi", "Bi", "Bi", "Bi", "Bi", "Bi", "Bi", "Rh", "Rh", "Rh", "Rh"], "fractional_positions": [[0.037, 0.182, 0.051], [0.182, 0.037, 0.551], [0.818, 0.963, 0.449], [0.963, 0.818, 0.949], [0.082, 0.686, 0.432], [0.173, 0.557, 0.890], [0.281, 0.397, 0.419], [0.314, 0.918, 0.068], [0.397, 0.281, 0.919], [0.443, 0.827, 0.610], [0.557, 0.173, 0.390], [0.603, 0.719, 0.081], [0.686, 0.082, 0.932], [0.719, 0.603, 0.581], [0.827, 0.443, 0.110], [0.918, 0.314, 0.568], [0.341, 0.659, 0.250], [0.451, 0.549, 0.750], [0.549, 0.451, 0.250], [0.659, 0.341, 0.750]]}



# 5
{"formula": "PrPb2Au2", "functional": "PBE", "state": "optimized geometry", "space_group": "P2_1/m (11)", "rho_g_cm3": 11.42, "lattice_angstrom": [[5.015, 0.000, 0.000], [0.000, 4.856, 0.000], [-0.573, 0.000, 11.332]], "species": ["Pr", "Pr", "Pb", "Pb", "Pb", "Pb", "Au", "Au", "Au", "Au"], "fractional_positions": [[0.221, 0.250, 0.328], [0.779, 0.750, 0.672], [0.248, 0.250, 0.994], [0.267, 0.250, 0.677], [0.733, 0.750, 0.323], [0.752, 0.750, 0.006], [0.254, 0.750, 0.154], [0.267, 0.750, 0.513], [0.733, 0.250, 0.487], [0.746, 0.250, 0.846]]}



# 6
{"formula": "SrNiMo2", "functional": "PBE", "state": "optimized geometry", "relative_energy_ev_per_atom": 0.1569, "space_group": "Immm (71)", "rho_g_cm3": 7.65, "lattice_angstrom": [[-1.357, 2.441, 5.543], [1.357, -2.441, 5.543], [1.357, 2.441, -5.543]], "species": ["Sr", "Ni", "Mo", "Mo"], "fractional_positions": [[0.000, 0.000, 0.000], [0.500, 0.500, 0.000], [0.293, 0.793, 0.500], [0.707, 0.207, 0.500]]}



| no. | formation energy from the elements (kJ/mol of atoms) |
| --- | --- |
| 1 | -36.9 |
| 2 | -6.1 |
| 3 | 0.8 |
| 4 | -5.6 |
| 5 | -39.4 |
| 6 | 58.7 |